VASP calculation (PBE) on an optimized crystal structure of SiP2Se.

Properties
Distance to the lowest polymorph of the same formula, eV/f.u.: 0.60
Energy relative to the elements, uncorrected, eV/atom: 0.0970

```
SiP2Se
1.0
4.155 0.000 0.000
0.000 3.506 0.000
-1.639 0.000 5.982
Si P Se
1 2 1
direct
0.000 0.000 0.000
0.210 0.000 0.692
0.553 0.500 0.869
0.399 0.500 0.203
```

VASP calculation (PBE) on an optimized crystal structure of KAg3H3.

Properties
DFT total energy, eV/atom: -2.634

```
KAg3H3
1.0
7.689 0.000 0.000
-3.845 6.659 0.000
0.000 0.000 4.666
K Ag H
2 6 6
direct
0.333 0.667 0.250
0.667 0.333 0.750
0.112 0.862 0.750
0.138 0.250 0.750
0.250 0.112 0.250
0.750 0.888 0.750
0.862 0.750 0.250
0.888 0.138 0.250
0.093 0.631 0.750
0.369 0.462 0.750
0.462 0.093 0.250
0.538 0.907 0.750
0.631 0.538 0.250
0.907 0.369 0.250
```

VASP calculation (PBE) on an optimized crystal structure of CsRe3Ag.

Properties
Distance to the lowest polymorph of the same formula, eV/f.u.: 0.00
Calculated formation energy, eV/atom: 3.15

```
CsRe3Ag
1.0
5.164 0.000 0.000
0.000 5.164 0.000
0.000 0.000 5.164
Cs Re Ag
1 3 1
direct
0.000 0.000 0.000
0.000 0.500 0.500
0.500 0.000 0.500
0.500 0.500 0.000
0.500 0.500 0.500
```

VASP calculation (PBE) on an optimized crystal structure of MnZn12Ni7.

Properties
Calculated formation energy, eV/atom: 0.33

```
MnZn12Ni7
1.0
-4.383 4.383 4.383
4.383 -4.383 4.383
4.383 4.383 -4.383
Mn Zn Ni
1 12 7
direct
0.000 0.000 0.000
0.106 0.760 0.347
0.240 0.347 0.587
0.240 0.653 0.894
0.347 0.106 0.760
0.347 0.587 0.240
0.413 0.760 0.653
0.587 0.240 0.347
0.653 0.413 0.760
0.653 0.894 0.240
0.760 0.347 0.106
0.760 0.653 0.413
0.894 0.240 0.653
0.000 0.000 0.500
0.000 0.500 0.000
0.000 0.500 0.500
0.500 0.000 0.000
0.500 0.000 0.500
0.500 0.500 0.000
0.500 0.500 0.500
```

Number 1: V 87 Å³ per cell. Number 2: V 239 Å³ per cell. Number 3: V 138 Å³ per cell. Number 4: V 337 Å³ per cell.